PrNdDyCu | PBE-GGA | relaxed

## Properties
Formation enthalpy at 0 K: -1.8 kcal/mol of atoms

Cell lengths 3.5878, 3.5878, 8.8081 Å; angles 90.00, 90.00, 90.00 degrees
Closest atoms and distances in Å follow each position.
Element x y z (fractional)
Dy 0.5000 0.5000 0.7612  4 Cu 2.98
Pr 0.0000 0.0000 0.0640  4 Pr 3.59, 4 Dy 3.68, 4 Nd 3.73
Cu 0.0000 0.0000 0.5845  4 Dy 2.98, 4 Nd 3.14
Nd 0.5000 0.5000 0.3750  4 Cu 3.14, 1 Dy 3.40